(1)
DFT (PBE) results for a geometry-optimized KCd4Au structure.

Output
Electronic total energy = -1.35 eV per atom
Fermi-level density of states = 1.33 states/eV per cell
E above lowest polymorph = 0.124 eV per atom
Formation enthalpy at 0 K = -7.0 meV per atom

Unit cell a=5.947 b=5.947 c=5.947 alpha=60.00 beta=60.00 gamma=60.00
Fractional coordinates of all 6 atoms:
K 0.750 0.750 0.750
Cd 0.878 0.374 0.374
Cd 0.374 0.374 0.878
Cd 0.374 0.878 0.374
Cd 0.374 0.374 0.374
Au 0.000 0.000 0.000



(2)
DFT (PBE) results for a geometry-optimized K3Cd5Au6 structure.

Output
Electronic total energy = -2.20 eV per atom
Fermi-level density of states = 7.96 states/eV per cell
Formation enthalpy at 0 K = -234.9 meV per atom

Unit cell a=4.793 b=10.449 c=14.016 alpha=90.00 beta=90.00 gamma=90.00
Fractional coordinates of all 28 atoms:
K 0.000 0.252 0.688
K 0.500 0.748 0.188
K 0.500 0.748 0.812
K 0.000 0.242 0.000
K 0.500 0.758 0.500
K 0.000 0.252 0.312
Cd 0.000 0.514 0.856
Cd 0.000 0.911 0.685
Cd 0.000 0.729 0.000
Cd 0.500 0.486 0.644
Cd 0.500 0.271 0.500
Cd 0.000 0.514 0.144
Cd 0.500 0.486 0.356
Cd 0.000 0.911 0.315
Cd 0.500 0.089 0.815
Cd 0.500 0.089 0.185
Au 0.000 0.964 0.886
Au 0.500 0.036 0.614
Au 0.500 0.364 0.834
Au 0.500 0.532 0.000
Au 0.000 0.468 0.500
Au 0.000 0.636 0.666
Au 0.000 0.636 0.334
Au 0.500 0.961 0.000
Au 0.000 0.964 0.114
Au 0.500 0.364 0.166
Au 0.000 0.039 0.500
Au 0.500 0.036 0.386



(3)
DFT (PBE) results for a geometry-optimized KCdAu2 structure.

Output
Electronic total energy = -2.16 eV per atom
Fermi-level density of states = 1.08 states/eV per cell
Formation enthalpy at 0 K = -22.3 meV per atom

Unit cell a=5.513 b=5.513 c=5.513 alpha=130.93 beta=130.93 gamma=71.93
Fractional coordinates of all 4 atoms:
Au 0.000 0.000 0.000
Au 0.250 0.750 0.500
Cd 0.500 0.500 0.000
K 0.750 0.250 0.500



(4)
DFT (PBE) results for a geometry-optimized K7Cd2Au2 structure.

Output
Electronic total energy = -1.56 eV per atom
Fermi-level density of states = 6.18 states/eV per cell
E above lowest polymorph = 0.000 eV per atom
Formation enthalpy at 0 K = -101.8 meV per atom

Unit cell a=7.981 b=8.425 c=7.981 alpha=90.00 beta=109.53 gamma=90.00
Fractional coordinates of all 11 atoms:
K 0.000 0.271 0.500
K 0.500 0.729 0.000
K 0.000 0.729 0.500
K 0.500 0.271 0.000
K 0.000 0.000 0.000
K 0.500 0.750 0.500
K 0.500 0.250 0.500
Cd 0.846 0.500 0.846
Cd 0.154 0.500 0.154
Au 0.702 0.000 0.298
Au 0.298 0.000 0.702



(5)
DFT (PBE) results for a geometry-optimized K3Cd4Au2 structure.

Output
Electronic total energy = -1.68 eV per atom
Fermi-level density of states = 2.90 states/eV per cell
Formation enthalpy at 0 K = -176.3 meV per atom

Unit cell a=4.818 b=6.593 c=10.054 alpha=70.36 beta=76.14 gamma=68.57
Fractional coordinates of all 9 atoms:
K 0.310 0.755 0.625
K 0.000 0.000 0.000
K 0.690 0.245 0.375
Cd 0.255 0.395 0.095
Cd 0.745 0.605 0.905
Cd 0.004 0.337 0.655
Cd 0.996 0.663 0.345
Au 0.408 0.924 0.260
Au 0.592 0.076 0.740



(6)
DFT (PBE) results for a geometry-optimized K3Cd3Au2 structure.

Output
Electronic total energy = -1.80 eV per atom
Fermi-level density of states = 14.27 states/eV per cell
Formation enthalpy at 0 K = -224.4 meV per atom

Unit cell a=6.529 b=9.168 c=17.140 alpha=90.00 beta=90.00 gamma=90.00
Fractional coordinates of all 32 atoms:
K 0.111 0.464 0.393
K 0.611 0.036 0.607
K 0.889 0.536 0.893
K 0.389 0.964 0.107
K 0.889 0.536 0.607
K 0.389 0.964 0.393
K 0.111 0.464 0.107
K 0.611 0.036 0.893
K 0.612 0.317 0.250
K 0.112 0.183 0.750
K 0.388 0.683 0.750
K 0.888 0.817 0.250
Cd 0.086 0.164 0.250
Cd 0.586 0.336 0.750
Cd 0.914 0.836 0.750
Cd 0.414 0.664 0.250
Cd 0.608 0.328 0.462
Cd 0.108 0.172 0.538
Cd 0.392 0.672 0.962
Cd 0.892 0.828 0.038
Cd 0.392 0.672 0.538
Cd 0.892 0.828 0.462
Cd 0.608 0.328 0.038
Cd 0.108 0.172 0.962
Au 0.884 0.118 0.396
Au 0.384 0.382 0.604
Au 0.116 0.882 0.896
Au 0.616 0.618 0.104
Au 0.116 0.882 0.604
Au 0.616 0.618 0.396
Au 0.884 0.118 0.104
Au 0.384 0.382 0.896



> Look up the formation enthalpy at 0 K of the sixth one.

-224.4 meV per atom